An optimized crystal structure of Be7Ni. Source: the Alexandria database, functional PBE.

Its total energy is -4.10 eV/atom. The value obtained for the formation energy is -11.2 kJ/mol of atoms. The calculation puts the total moment at 0.00 μB per formula unit. The density of states at the Fermi level is 12.5 states/eV per cell.

It has space group Fm-3m (No. 225), with a = 6.424 Å, b = 6.424 Å, c = 6.424 Å, α = 90.00°, β = 90.00° and γ = 90.00°. The asymmetric unit holds Be at (0.000, 0.000, 0.000), Be at (0.000, 0.250, 0.250) and Ni at (0.000, 0.000, 0.500).

An optimized crystal structure of BeNi3. Source: the Alexandria database, functional PBE.

Its total energy is -5.44 eV/atom. The value obtained for the formation energy is -16.4 kJ/mol of atoms. The calculation puts the total moment at 0.36 μB per formula unit. The density of states at the Fermi level is 13.2 states/eV per cell.

It has space group Imm2 (No. 44), with a = 2.580 Å, b = 7.832 Å, c = 3.938 Å, α = 90.00°, β = 90.00° and γ = 90.00°. The asymmetric unit holds Be at (0.000, 0.000, 0.000), Ni at (0.000, 0.272, 0.497) and Ni at (0.000, 0.500, 0.999).

An optimized crystal structure of BeNi3. Source: the Alexandria database, functional PBE.

Its total energy is -5.43 eV/atom. The value obtained for the formation energy is -15.3 kJ/mol of atoms. The calculation puts the total moment at 0.99 μB per formula unit. The density of states at the Fermi level is 28.4 states/eV per cell.

It has space group Pmmn (No. 59, origin choice 2), with a = 4.895 Å, b = 11.876 Å, c = 4.168 Å, α = 90.00°, β = 90.00° and γ = 90.00°. The asymmetric unit holds Be at (0.250, 0.082, 0.172), Be at (0.250, 0.750, 0.486), Ni at (0.000, 0.250, 0.018), Ni at (0.001, 0.084, 0.671), Ni at (0.250, 0.250, 0.510) and Ni at (0.250, 0.583, 0.828).

An optimized crystal structure of Be3Ni. Source: the Alexandria database, functional PBE.

Its total energy is -4.25 eV/atom. The value obtained for the formation energy is -0.8 kJ/mol of atoms. The calculation puts the total moment at 0.00 μB per formula unit. The density of states at the Fermi level is 6.9 states/eV per cell.

It has space group R-3m (No. 166, hexagonal axes), with a = 2.3724 Å, b = 2.3724 Å, c = 22.1097 Å, α = 90.00°, β = 90.00° and γ = 120.00°. The asymmetric unit holds Be at (0.0000, 0.0000, 0.0000), Be at (0.0000, 0.0000, 0.2493) and Ni at (0.0000, 0.0000, 0.5000).

An optimized crystal structure of BeNi3. Source: the Alexandria database, functional PBE.

Its total energy is -5.40 eV/atom. The value obtained for the formation energy is -12.3 kJ/mol of atoms. The calculation puts the total moment at 0.07 μB per formula unit. The density of states at the Fermi level is 29.2 states/eV per cell.

It has space group Fm-3m (No. 225), with a = 5.443 Å, b = 5.443 Å, c = 5.443 Å, α = 90.00°, β = 90.00° and γ = 90.00°. The asymmetric unit holds Be at (0.000, 0.000, 0.000), Ni at (0.000, 0.000, 0.500) and Ni at (0.250, 0.250, 0.250).

An optimized crystal structure of Be4Ni5. Source: the Alexandria database, functional PBE.

Its total energy is -5.18 eV/atom. The value obtained for the formation energy is -30.4 kJ/mol of atoms. The calculation puts the total moment at 0.00 μB per formula unit. The density of states at the Fermi level is 8.2 states/eV per cell.

It has space group P6_3/mcm (No. 193), with a = 6.4844 Å, b = 6.4844 Å, c = 4.5949 Å, α = 90.00°, β = 90.00° and γ = 120.00°. The asymmetric unit holds Be at (0.0000, 0.0000, 0.0000), Be at (0.0000, 0.3758, 0.2500), Ni at (0.0000, 0.2869, 0.7500) and Ni at (0.3333, 0.6667, 0.0000).

An optimized crystal structure of Be3Ni. Source: the Alexandria database, functional PBE.

Its total energy is -4.51 eV/atom. The value obtained for the formation energy is -26.1 kJ/mol of atoms. The calculation puts the total moment at 0.00 μB per formula unit. The density of states at the Fermi level is 1.4 states/eV per cell.

It has space group P4/mmm (No. 123), with a = 3.361 Å, b = 3.361 Å, c = 3.009 Å, α = 90.00°, β = 90.00° and γ = 90.00°. The asymmetric unit holds Be at (0.000, 0.000, 0.000), Be at (0.000, 0.500, 0.500) and Ni at (0.500, 0.500, 0.000).

An optimized crystal structure of Be3Ni. Source: the Alexandria database, functional PBE.

Its total energy is -4.54 eV/atom. The value obtained for the formation energy is -28.7 kJ/mol of atoms. The calculation puts the total moment at 0.00 μB per formula unit. The density of states at the Fermi level is 2.2 states/eV per cell.

It has space group Immm (No. 71), with a = 2.967 Å, b = 3.312 Å, c = 6.886 Å, α = 90.00°, β = 90.00° and γ = 90.00°. The asymmetric unit holds Be at (0.000, 0.000, 0.000), Be at (0.000, 0.500, 0.251) and Ni at (0.000, 0.000, 0.500).

An optimized crystal structure of BeNi7. Source: the Alexandria database, functional PBE.

Its total energy is -5.61 eV/atom. The value obtained for the formation energy is -8.6 kJ/mol of atoms. The calculation puts the total moment at 3.99 μB per formula unit. The density of states at the Fermi level is 26.1 states/eV per cell.

It has space group Fm-3m (No. 225), with a = 6.952 Å, b = 6.952 Å, c = 6.952 Å, α = 90.00°, β = 90.00° and γ = 90.00°. The asymmetric unit holds Be at (0.000, 0.000, 0.000), Ni at (0.000, 0.000, 0.500) and Ni at (0.000, 0.250, 0.250).

An optimized crystal structure of BeNi3. Source: the Alexandria database, functional PBE.

Its total energy is -5.36 eV/atom. The value obtained for the formation energy is -8.8 kJ/mol of atoms. The calculation puts the total moment at 0.00 μB per formula unit. The density of states at the Fermi level is 13.1 states/eV per cell.

It has space group R-3m (No. 166, hexagonal axes), with a = 7.6410 Å, b = 7.6410 Å, c = 2.4130 Å, α = 90.00°, β = 90.00° and γ = 120.00°. The asymmetric unit holds Be at (0.0000, 0.0000, 0.0000) and Ni at (0.0000, 0.5000, 0.0000).

An optimized crystal structure of BeNi3. Source: the Alexandria database, functional PBE.

Its total energy is -5.44 eV/atom. The value obtained for the formation energy is -16.5 kJ/mol of atoms. The calculation puts the total moment at 0.01 μB per formula unit. The density of states at the Fermi level is 10.7 states/eV per cell.

It has space group C2/m (No. 12), with a = 8.286 Å, b = 2.534 Å, c = 4.017 Å, α = 90.00°, β = 108.89° and γ = 90.00°. The asymmetric unit holds Be at (0.000, 0.000, 0.000), Ni at (0.000, 0.500, 0.500) and Ni at (0.233, 0.500, 0.235).

An optimized crystal structure of Be3Ni. Source: the Alexandria database, functional PBE.

Its total energy is -4.53 eV/atom. The value obtained for the formation energy is -28.0 kJ/mol of atoms. The calculation puts the total moment at 0.00 μB per formula unit. The density of states at the Fermi level is 1.7 states/eV per cell.

It has space group P6_3/mmc (No. 194), with a = 4.6089 Å, b = 4.6089 Å, c = 3.6788 Å, α = 90.00°, β = 90.00° and γ = 120.00°. The asymmetric unit holds Be at (0.1654, 0.3308, 0.2500) and Ni at (0.3333, 0.6667, 0.7500).